Entry 1:
Compound: PaTcPRh
Source: Alexandria
Functional: PBE
Structure: relaxed

Results
**SG**: Pmmm
**Size of the total moment**: 0.0 Bohr magnetons per cell
**Electronic total energy**: -8.45 eV/atom

Cell: 3.8000 4.4636 4.6143 Å, 90.00 90.00 90.00°
Closest atoms and distances in Å follow each position.
Sites, in units of the cell vectors:
Rh (0.0000, 0.5000, 0.0000)  2 P 2.23
P (0.0000, 0.0000, 0.0000)  2 Rh 2.23, 2 Tc 2.31
Tc (0.0000, 0.0000, 0.5000)  2 P 2.31
Pa (0.5000, 0.5000, 0.5000)  4 Tc 2.93, 4 Rh 2.99



Entry 2:
Compound: La3Pr8Ho2
Source: Alexandria
Functional: PBE
Structure: relaxed

Results
**SG**: C2/m
**Size of the total moment**: 0.0 Bohr magnetons per cell
**Energy above the lowest structure with this stoichiometry**: 0.0 meV/atom

Cell: 6.2809 9.0312 9.0312 Å, 83.28 73.25 73.25°
Closest atoms and distances in Å follow each position.
Sites, in units of the cell vectors:
La (0.0000, 0.7606, 0.2394)  6 Pr 3.52-3.67
Pr (0.7917, 0.4416, 0.4416)  2 Ho 3.36-3.39, 5 Pr 3.38-3.56, 2 La 3.59
Ho (0.6348, 0.7091, 0.7091)  8 Pr 3.36-3.66, 1 La 3.68
La (0.5000, 0.0000, 0.0000)  2 Pr 3.26
Pr (0.6765, 0.5692, 0.0795)  2 Ho 3.49-3.65, 5 Pr 3.52-3.90, 2 La 3.67-3.77
Pr (0.0449, 0.8421, 0.8421)  3 La 3.26-3.52, 1 Ho 3.44, 1 Pr 3.56
Pr (0.6765, 0.0795, 0.5692)  2 Ho 3.49-3.65, 5 Pr 3.52-3.90, 2 La 3.67-3.77
Pr (0.3235, 0.9205, 0.4308)  2 Ho 3.49-3.65, 5 Pr 3.52-3.90, 2 La 3.67-3.77
Pr (0.9551, 0.1579, 0.1579)  3 La 3.26-3.52, 1 Ho 3.44, 1 Pr 3.56
Pr (0.2083, 0.5584, 0.5584)  2 Ho 3.36-3.39, 5 Pr 3.38-3.56, 2 La 3.59
Pr (0.3235, 0.4308, 0.9205)  2 Ho 3.49-3.65, 5 Pr 3.52-3.90, 2 La 3.67-3.77
Ho (0.3652, 0.2909, 0.2909)  8 Pr 3.36-3.66, 1 La 3.68
La (0.0000, 0.2394, 0.7606)  6 Pr 3.52-3.67



> What is the size of the total moment in the first record?

0.0 Bohr magnetons per cell



> Which value of size of the total moment does entry 1 give?

0.0 Bohr magnetons per cell



> What is the formula in the first record?

PaTcPRh



> Look up the size of the total moment of the second one.

0.0 Bohr magnetons per cell